First-principles (PBE) data for crystalline Na2ScRuI at its relaxed geometry, as listed in the Alexandria database.

Cell: 5.4755 5.4755 4.9994 Å, 90.00 90.00 90.00°
With the nearest neighbours (Å) after each atom.
Space group P4/mmm (No. 123)
Unique sites:
Na 0.0000 0.5000 0.0000 [2 per cell]  2 I 2.74
Sc 0.0000 0.0000 0.5000 [1 per cell]  8 Na 3.71, 4 Ru 3.87
Ru 0.5000 0.5000 0.5000 [1 per cell]  2 I 2.50
I 0.5000 0.5000 0.0000 [1 per cell]  2 Ru 2.50, 4 Na 2.74

* total DFT energy (no corrections): -15.631 eV/f.u.
* energy relative to the elements, uncorrected: 833 meV per atom

---

First-principles (PBE) data for crystalline Y2ErCd2 at its relaxed geometry, as listed in the Alexandria database.

Cell: 4.9798 6.7827 8.3199 Å, 90.00 90.00 90.00°
With the nearest neighbours (Å) after each atom.
Space group Immm (No. 71)
Unique sites:
Y 0.0000 0.0000 0.1991 [4 per cell]  6 Cd 3.18-3.32, 1 Y 3.31, 2 Er 3.53
Er 0.0000 0.5000 0.0000 [2 per cell]  4 Cd 3.17, 4 Y 3.53
Cd 0.0000 0.2887 0.5000 [4 per cell]  1 Cd 2.87, 2 Er 3.17, 2 Y 3.18

* total DFT energy (no corrections): -20.233 eV/f.u.
* DFT formation energy: -0.18 eV/atom
* distance to the lowest polymorph of the same formula: 87 meV per atom

---

First-principles (PBE) data for crystalline CoSe2 at its relaxed geometry, as listed in the Alexandria database.

Cell: 5.8362 5.8362 5.8362 Å, 90.00 90.00 90.00°
With the nearest neighbours (Å) after each atom.
Space group Pa-3 (No. 205)
Unique sites:
Co 0.0000 0.0000 0.0000 [4 per cell]  6 Se 2.42
Se 0.1269 0.6269 0.8731 [8 per cell]  3 Co 2.42, 1 Se 2.56

* total DFT energy (no corrections): -14.909 eV/f.u.
* energy relative to the elements, uncorrected: -278 meV per atom

---

First-principles (PBE) data for crystalline Ba2Pd2Au15 at its relaxed geometry, as listed in the Alexandria database.

Cell: 9.8013 9.8013 14.1852 Å, 90.00 90.00 120.00°
With the nearest neighbours (Å) after each atom.
Space group R-3m (No. 166, hexagonal axes)
Unique sites:
Ba 0.0000 0.0000 0.1650 [6 per cell]  1 Pd 3.37, 15 Au 3.46-3.70
Pd 0.0000 0.0000 0.4029 [6 per cell]  1 Pd 2.76, 6 Au 3.00-3.07
Au 0.0000 0.2966 0.5000 [18 per cell]  8 Au 2.79-2.96
Au 0.0000 0.5000 0.0000 [9 per cell]  8 Au 2.79-2.84, 2 Pd 3.00
Au 0.0007 0.5003 0.6528 [18 per cell]  8 Au 2.84-2.96, 1 Pd 3.07

* total DFT energy (no corrections): -68.765 eV/f.u.
* DFT formation energy: -0.28 eV/atom

---

First-principles (PBE) data for crystalline Ba2US3N at its relaxed geometry, as listed in the Alexandria database.

Cell: 4.1970 5.2874 16.6721 Å, 90.00 90.00 90.00°
With the nearest neighbours (Å) after each atom.
Space group Immm (No. 71)
Unique sites:
Ba 0.0000 0.0000 0.1472 [4 per cell]  7 S 3.14-3.39
U 0.0000 0.0000 0.5000 [2 per cell]  2 N 2.10
S 0.0000 0.0000 0.3358 [4 per cell]  1 U 2.74
S 0.0000 0.5000 0.5000 [2 per cell]  2 U 2.64
N 0.0000 0.5000 0.0000 [2 per cell]  2 U 2.10

* total DFT energy (no corrections): -48.062 eV/f.u.
* energy relative to the elements, uncorrected: -1746 meV per atom

---

First-principles (PBE) data for crystalline ScTiIN2 at its relaxed geometry, as listed in the Alexandria database.

Cell: 4.0224 4.0224 5.3675 Å, 90.00 90.00 90.00°
With the nearest neighbours (Å) after each atom.
Space group P4/mmm (No. 123)
Unique sites:
Sc 0.0000 0.0000 0.0000 [1 per cell]  4 I 2.84
Ti 0.5000 0.5000 0.5000 [1 per cell]  4 N 2.01
I 0.5000 0.5000 0.0000 [1 per cell]  2 Ti 2.68, 4 Sc 2.84
N 0.0000 0.5000 0.5000 [2 per cell]  2 Ti 2.01

* total DFT energy (no corrections): -32.057 eV/f.u.
* distance to the lowest polymorph of the same formula: 0 meV per atom
* energy relative to the elements, uncorrected: 74 meV per atom

---

First-principles (PBE) data for crystalline TlTeCl6 at its relaxed geometry, as listed in the Alexandria database.

Cell: 6.8074 6.8093 7.3182 Å, 64.60 64.55 86.57°
With the nearest neighbours (Å) after each atom.
Space group P-1 (No. 2)
Unique sites:
Tl 0.0000 0.0000 0.0000 [1 per cell]  6 Cl 3.39-3.60
Te 0.5000 0.5000 0.0000 [1 per cell]  6 Cl 2.48-2.49
Cl 0.1920 0.1915 0.2913 [2 per cell]  1 Te 2.49
Cl 0.2866 0.6593 0.7828 [2 per cell]  1 Te 2.48
Cl 0.3378 0.7142 0.2160 [2 per cell]  1 Te 2.48

* total DFT energy (no corrections): -21.582 eV/f.u.
* distance to the lowest polymorph of the same formula: 0 meV per atom
* energy relative to the elements, uncorrected: -624 meV per atom

---

First-principles (PBE) data for crystalline Pr4CoAu at its relaxed geometry, as listed in the Alexandria database.

Cell: 9.2174 14.5334 7.0049 Å, 90.00 128.15 90.00°
With the nearest neighbours (Å) after each atom.
Space group C2/c (No. 15)
Unique sites:
Pr 0.1605 0.2160 0.1653 [8 per cell]  1 Co 2.67
Pr 0.2374 0.0340 0.7392 [8 per cell]  2 Co 2.80-2.85, 1 Au 3.11
Co 0.0000 0.0874 0.2500 [4 per cell]  6 Pr 2.67-2.85
Au 0.0000 0.3757 0.7500 [4 per cell]  8 Pr 3.10-3.31

* total DFT energy (no corrections): -30.851 eV/f.u.
* DFT formation energy: -0.22 eV/atom
* distance to the lowest polymorph of the same formula: 38 meV per atom

---

First-principles (PBE) data for crystalline MnNi3P at its relaxed geometry, as listed in the Alexandria database.

Cell: 4.2751 4.2751 4.2751 Å, 90.00 90.00 90.00°
With the nearest neighbours (Å) after each atom.
Space group Pm-3m (No. 221)
Unique sites:
Mn 0.0000 0.0000 0.0000 [1 per cell]  6 Ni 2.14
Ni 0.0000 0.0000 0.5000 [3 per cell]  2 Mn 2.14
P 0.5000 0.5000 0.5000 [1 per cell]  12 Ni 3.02

* total DFT energy (no corrections): -25.784 eV/f.u.
* DFT formation energy: 1.23 eV/atom
* distance to the lowest polymorph of the same formula: 1414 meV per atom

---

First-principles (PBE) data for crystalline LiZrTaTe2 at its relaxed geometry, as listed in the Alexandria database.

Cell: 4.9001 4.9001 4.4459 Å, 90.00 90.00 90.00°
With the nearest neighbours (Å) after each atom.
Space group P4/mmm (No. 123)
Unique sites:
Li 0.0000 0.0000 0.0000 [1 per cell]  2 Ta 2.22, 4 Te 2.45
Zr 0.5000 0.5000 0.5000 [1 per cell]  8 Te 3.31, 4 Ta 3.46
Ta 0.0000 0.0000 0.5000 [1 per cell]  2 Li 2.22
Te 0.0000 0.5000 0.0000 [2 per cell]  2 Li 2.45

* total DFT energy (no corrections): -25.706 eV/f.u.
* energy relative to the elements, uncorrected: 578 meV per atom

---

First-principles (PBE) data for crystalline TlCo2PdS at its relaxed geometry, as listed in the Alexandria database.

Cell: 4.6928 4.6928 5.1505 Å, 90.00 90.00 90.00°
With the nearest neighbours (Å) after each atom.
Space group P4/mmm (No. 123)
Unique sites:
Tl 0.0000 0.0000 0.0000 [1 per cell]  2 Pd 2.58
Co 0.0000 0.5000 0.5000 [2 per cell]  2 Pd 2.35
Pd 0.0000 0.0000 0.5000 [1 per cell]  4 Co 2.35, 2 Tl 2.58
S 0.5000 0.5000 0.0000 [1 per cell]  4 Tl 3.32, 8 Co 3.48

* total DFT energy (no corrections): -20.527 eV/f.u.
* energy relative to the elements, uncorrected: 1074 meV per atom

---

First-principles (PBE) data for crystalline K5Cr at its relaxed geometry, as listed in the Alexandria database.

Cell: 6.8484 4.7002 21.8830 Å, 90.00 90.00 90.00°
With the nearest neighbours (Å) after each atom.
Space group Amm2 (No. 38)
Unique sites:
K 0.0000 0.0000 0.0000 [2 per cell]  2 Cr 3.79, 4 K 4.19
K 0.0000 0.0000 0.2757 [2 per cell]  2 Cr 3.86, 2 K 4.12
K 0.5000 0.0000 0.1714 [2 per cell]  4 K 3.98-4.12, 4 Cr 4.22
K 0.5000 0.0000 0.5244 [2 per cell]  8 K 3.98-4.46, 2 Cr 4.21
K 0.5000 0.0000 0.8512 [2 per cell]  12 K 4.46-4.72
Cr 0.0000 0.0000 0.6360 [2 per cell]  10 K 3.79-4.22

* total DFT energy (no corrections): -12.390 eV/f.u.
* DFT formation energy: 0.45 eV/atom
* distance to the lowest polymorph of the same formula: 26 meV per atom